Material: NaAgGeMo2
Method: DFT, PBE-GGA
State: relaxed

Formation enthalpy at 0 K, meV per atom: 1280.6
DFT total energy, Ry per atom: -0.353

abc: 4.742 4.742 5.032
angles: 90.00 90.00 90.00
Space group P4/mmm (No. 123)
Unique sites:
Na 0.000 0.000 0.000
Ag 0.500 0.500 0.000
Ge 0.000 0.000 0.500
Mo 0.000 0.500 0.500

Material: KLiP
Method: DFT, PBE-GGA
State: relaxed

Formation enthalpy at 0 K, meV per atom: -416.8
E above lowest polymorph, eV per atom: 0.011
DFT total energy, Ry per atom: -0.237

abc: 4.568 4.568 13.809
angles: 90.00 90.00 90.00
Space group I4/mmm (No. 139)
Unique sites:
K 0.000 0.000 0.180
Li 0.000 0.500 0.000
P 0.000 0.000 0.414

Material: Al2ZnCo
Method: DFT, PBE-GGA
State: relaxed

Formation enthalpy at 0 K, meV per atom: -144.3
DFT total energy, Ry per atom: -0.302

abc: 4.0321 4.0321 12.7392
angles: 90.00 90.00 120.00
Space group R3m (No. 160, hexagonal axes)
Unique sites:
Al 0.0000 0.0000 0.0000
Al 0.0000 0.0000 0.2254
Zn 0.0000 0.0000 0.4404
Co 0.0000 0.0000 0.6364

Material: BaMgSc2
Method: DFT, PBE-GGA
State: relaxed

Formation enthalpy at 0 K, meV per atom: 283.3
DFT total energy, Ry per atom: -0.276

abc: 3.437 5.452 6.677
angles: 90.00 101.40 90.00
Space group P2/m (No. 10)
Unique sites:
Ba 0.000 0.000 0.000
Mg 0.500 0.000 0.500
Sc 0.309 0.500 0.706

Material: V3Mo8
Method: DFT, PBE-GGA
State: relaxed

Formation enthalpy at 0 K, meV per atom: -114.8
DFT total energy, Ry per atom: -0.770

abc: 9.863 3.118 11.243
angles: 90.00 105.07 90.00
Space group C2/m (No. 12)
Unique sites:
V 0.000 0.000 0.000
V 0.090 0.000 0.635
Mo 0.046 0.500 0.818
Mo 0.135 0.500 0.456
Mo 0.182 0.000 0.274
Mo 0.227 0.500 0.091

Material: AsC2
Method: DFT, PBE-GGA
State: relaxed

Formation enthalpy at 0 K, meV per atom: 368.7
E above lowest polymorph, eV per atom: 0.017
DFT total energy, Ry per atom: -0.539

abc: 2.5455 2.5455 26.7637
angles: 90.00 90.00 120.00
Space group R-3m (No. 166, hexagonal axes)
Unique sites:
As 0.0000 0.0000 0.0000
C 0.0000 0.0000 0.1667

Material: NaSrCa2Zn
Method: DFT, PBE-GGA
State: relaxed

Formation enthalpy at 0 K, meV per atom: 15.0
E above lowest polymorph, eV per atom: 0.000
DFT total energy, Ry per atom: -0.121

abc: 5.900 5.900 6.091
angles: 90.00 90.00 90.00
Space group P4/mmm (No. 123)
Unique sites:
Na 0.000 0.000 0.000
Sr 0.500 0.500 0.000
Ca 0.000 0.500 0.500
Zn 0.500 0.500 0.500

Material: KCaOs2
Method: DFT, PBE-GGA
State: relaxed

Formation enthalpy at 0 K, meV per atom: 1269.9
E above lowest polymorph, eV per atom: 0.878
DFT total energy, Ry per atom: -0.376

abc: 6.789 6.789 6.789
angles: 90.00 90.00 90.00
Space group F-43m (No. 216)
Unique sites:
K 0.000 0.000 0.000
Ca 0.250 0.250 0.750
Os 0.000 0.000 0.500
Os 0.250 0.250 0.250

Material: Be2ReOs
Method: DFT, PBE-GGA
State: relaxed

Formation enthalpy at 0 K, meV per atom: -149.0
E above lowest polymorph, eV per atom: 0.000
DFT total energy, Ry per atom: -0.583

abc: 2.791 2.791 5.880
angles: 90.00 90.00 90.00
Space group P4mm (No. 99)
Unique sites:
Be 0.000 0.000 0.000
Be 0.500 0.500 0.181
Re 0.500 0.500 0.730
Os 0.000 0.000 0.429

Material: ReTc4Te
Method: DFT, PBE-GGA
State: relaxed

Formation energy from raw total energies, eV per formula unit: 4.245
DFT total energy, Ry per atom: -0.647

abc: 7.322 7.322 7.322
angles: 90.00 90.00 90.00
Space group F-43m (No. 216)
Unique sites:
Re 0.000 0.000 0.000
Tc 0.125 0.125 0.625
Te 0.250 0.250 0.250

Material: SrCa2Ta
Method: DFT, PBE-GGA
State: relaxed

Formation enthalpy at 0 K, meV per atom: 652.0
E above lowest polymorph, eV per atom: 0.030
DFT total energy, Ry per atom: -0.274

abc: 3.396 3.396 11.408
angles: 90.00 90.00 90.00
Space group P4mm (No. 99)
Unique sites:
Sr 0.000 0.000 0.000
Ca 0.000 0.000 0.413
Ca 0.500 0.500 0.698
Ta 0.500 0.500 0.216

Material: NpMn2Ir
Method: DFT, PBE-GGA
State: relaxed

Formation enthalpy at 0 K, meV per atom: -115.7
E above lowest polymorph, eV per atom: 0.000
DFT total energy, Ry per atom: -0.746

abc: 3.978 3.978 3.999
angles: 90.00 90.00 90.00
Space group P4/mmm (No. 123)
Unique sites:
Np 0.000 0.000 0.000
Mn 0.000 0.500 0.500
Ir 0.500 0.500 0.000